! LaPr10Y4 PBE relaxed; values from VASP
! DFT formation energy in meV/atom: 493
! Volume in A^3/atom: 38.73
&SYSTEM
  ibrav = 0, nat = 15, ntyp = 3
/
ATOMIC_SPECIES
Pr 140.91 Pr.upf
Y 88.91 Y.upf
La 138.91 La.upf
CELL_PARAMETERS angstrom
6.365 0.000 2.874
3.183 9.121 1.437
-0.571 0.000 9.750
ATOMIC_POSITIONS crystal
Pr 0.117 0.417 0.840
Pr 0.750 0.500 0.500
Y 0.567 0.110 0.755
Pr 0.373 0.583 0.160
Pr 0.627 0.417 0.840
La 0.000 0.000 0.000
Pr 0.956 0.160 0.417
Y 0.323 0.245 0.110
Y 0.677 0.755 0.890
Y 0.433 0.890 0.245
Pr 0.044 0.840 0.583
Pr 0.883 0.583 0.160
Pr 0.533 0.840 0.583
Pr 0.250 0.500 0.500
Pr 0.467 0.160 0.417